No. 1
The following is a PBE calculation of a relaxed structure of CsLaCd17, from Alexandria.

Unit cell a=7.855 b=7.855 c=7.855 alpha=82.59 beta=82.59 gamma=82.59
Atoms (fractional coordinates):
Cs1 0.661 0.661 0.661
La1 0.332 0.332 0.332
Cd1 0.293 0.003 0.703
Cd2 0.703 0.293 0.003
Cd3 0.003 0.703 0.293
Cd4 0.293 0.703 0.003
Cd5 0.003 0.293 0.703
Cd6 0.703 0.003 0.293
Cd7 0.349 0.860 0.349
Cd8 0.349 0.349 0.860
Cd9 0.860 0.349 0.349
Cd10 0.634 0.175 0.634
Cd11 0.634 0.634 0.175
Cd12 0.175 0.634 0.634
Cd13 0.992 0.509 0.992
Cd14 0.992 0.992 0.509
Cd15 0.509 0.992 0.992
Cd16 0.908 0.908 0.908
Cd17 0.106 0.106 0.106

Summary:
The calculation puts the theoretical density at 7.66 g/cm³. For the spin magnetization, the calculation gives 0.00 μB per formula unit. Its energy of formation from the pure elements is -0.10 eV/atom.


No. 2
The following is a PBE calculation of a relaxed structure of CsLaCd3, from Alexandria.

Unit cell a=6.287 b=6.287 c=6.287 alpha=90.00 beta=90.00 gamma=90.00
Atoms (fractional coordinates):
Cs1 0.500 0.500 0.500
Cd1 0.000 0.500 0.000
Cd2 0.000 0.000 0.500
Cd3 0.500 0.000 0.000
La1 0.000 0.000 0.000

Summary:
The calculation puts the theoretical density at 4.07 g/cm³. For the spin magnetization, the calculation gives 0.00 μB per formula unit. Its energy of formation from the pure elements is 0.28 eV/atom.


No. 3
The following is a PBE calculation of a relaxed structure of Cs2LaCd2O4, from Alexandria.

Unit cell a=3.724 b=7.290 c=8.125 alpha=102.43 beta=103.25 gamma=90.00
Atoms (fractional coordinates):
Cs1 0.126 0.562 0.252
Cs2 0.874 0.438 0.748
La1 0.000 0.000 0.000
Cd1 0.682 0.041 0.364
Cd2 0.318 0.959 0.636
O1 0.154 0.189 0.309
O2 0.846 0.811 0.691
O3 0.550 0.831 0.099
O4 0.450 0.169 0.901

Summary:
The calculation puts the theoretical density at 5.50 g/cm³. For the spin magnetization, the calculation gives 0.00 μB per formula unit. The value obtained for the formation energy without anion corrections is -1583.2 meV/atom.


No. 4
The following is a PBE calculation of a relaxed structure of Cs2LaCdRe, from Alexandria.

Unit cell a=6.950 b=5.199 c=6.950 alpha=90.00 beta=90.00 gamma=90.00
Atoms (fractional coordinates):
Cs1 0.000 0.000 0.500
Cs2 0.500 0.000 0.000
Re1 0.000 0.000 0.000
Cd1 0.500 0.500 0.500
La1 0.000 0.500 0.000

Summary:
The calculation puts the theoretical density at 4.65 g/cm³. For the spin magnetization, the calculation gives 0.00 μB per formula unit. Its energy of formation from the pure elements is 0.94 eV/atom.


No. 5
The following is a PBE calculation of a relaxed structure of Cs3La2CdS6, from Alexandria.

Unit cell a=7.387 b=7.387 c=8.434 alpha=98.46 beta=98.46 gamma=119.88
Each line ends with the local moment (μB).
Atoms (fractional coordinates):
Cs1 0.166 0.834 0.500  0.01
Cs2 0.834 0.166 0.500  0.01
Cs3 0.500 0.500 0.500  0.01
La1 0.333 0.667 0.000  0.00
La2 0.667 0.333 0.000  0.00
Cd1 0.000 0.000 0.000  0.02
S1 0.938 0.613 0.814  0.10
S2 0.735 0.735 0.189  0.10
S3 0.062 0.387 0.186  0.10
S4 0.613 0.938 0.814  0.10
S5 0.265 0.265 0.811  0.10
S6 0.387 0.062 0.186  0.10

Summary:
The calculation puts the theoretical density at 4.27 g/cm³. For the spin magnetization, the calculation gives 1.05 μB per formula unit. The value obtained for the formation energy without anion corrections is -1378.5 meV/atom.


No. 6
The following is a PBE calculation of a relaxed structure of Cs4La3CdS8, from Alexandria.

Unit cell a=8.580 b=9.465 c=8.598 alpha=117.01 beta=119.93 gamma=90.00
Each line ends with the local moment (μB).
Atoms (fractional coordinates):
Cs1 0.500 0.000 0.000  0.01
Cs2 0.500 0.000 0.500  0.00
Cs3 0.000 0.000 0.000  0.00
Cs4 0.000 0.000 0.500  0.00
La1 0.500 0.500 0.000  0.00
La2 0.500 0.500 0.500  0.00
La3 0.000 0.500 0.500  0.00
Cd1 0.000 0.500 0.000  0.01
S1 0.225 0.686 0.960  0.08
S2 0.229 0.689 0.457  0.08
S3 0.271 0.312 0.542  0.01
S4 0.735 0.686 0.960  0.08
S5 0.265 0.314 0.040  0.08
S6 0.729 0.688 0.458  0.01
S7 0.771 0.311 0.543  0.08
S8 0.775 0.314 0.040  0.08

Summary:
The calculation puts the theoretical density at 4.24 g/cm³. For the spin magnetization, the calculation gives 0.89 μB per formula unit. The value obtained for the formation energy without anion corrections is -1502.8 meV/atom.


No. 7
The following is a PBE calculation of a relaxed structure of Cs2LaCd2S4, from Alexandria.

Unit cell a=4.215 b=8.587 c=8.682 alpha=111.69 beta=104.05 gamma=90.00
Atoms (fractional coordinates):
Cs1 0.128 0.557 0.255
Cs2 0.872 0.443 0.745
La1 0.000 0.000 0.000
Cd1 0.686 0.016 0.372
Cd2 0.314 0.984 0.628
S1 0.186 0.203 0.371
S2 0.814 0.797 0.629
S3 0.530 0.793 0.060
S4 0.470 0.207 0.940

Summary:
The calculation puts the theoretical density at 4.46 g/cm³. For the spin magnetization, the calculation gives 0.00 μB per formula unit. The value obtained for the formation energy without anion corrections is -1163.8 meV/atom.


No. 8
The following is a PBE calculation of a relaxed structure of Cs3La2CdSe6, from Alexandria.

Unit cell a=7.662 b=7.662 c=8.777 alpha=98.40 beta=98.40 gamma=119.92
Atoms (fractional coordinates):
Cs1 0.167 0.833 0.500
Cs2 0.833 0.167 0.500
Cs3 0.500 0.500 0.500
La1 0.333 0.667 0.000
La2 0.667 0.333 0.000
Cd1 0.000 0.000 0.000
Se1 0.937 0.612 0.811
Se2 0.737 0.737 0.191
Se3 0.063 0.388 0.189
Se4 0.612 0.937 0.811
Se5 0.263 0.263 0.809
Se6 0.388 0.063 0.189

Summary:
The calculation puts the theoretical density at 4.91 g/cm³. For the spin magnetization, the calculation gives 0.14 μB per formula unit. The value obtained for the formation energy without anion corrections is -1349.3 meV/atom.


Respective E values: -1.221 -1.423 -4.727 -3.060 -4.553 -4.761 -3.939 -4.202 eV per atom.